[1]
First-principles (PBE) data for an optimized crystal structure of NaMnP2Cl, as listed in the Alexandria database.

Calculated values
DFT total energy = -3.6140 eV/atom
DOS at the Fermi energy = 3.6 states/eV/f.u.
offset from the most stable computed form = 1.2821 eV per atom
total magnetic moment = 3.5 μB/cell

abc: 4.963 4.963 4.895
angles: 90.00 90.00 90.00
Fractional positions:
Na 0.000 0.000 0.000
Mn 0.500 0.500 0.500
P 0.000 0.500 0.000
P 0.500 0.000 0.000
Cl 0.000 0.000 0.500

***

[2]
First-principles (PBE) data for an optimized crystal structure of NaMnP2Cl, as listed in the Alexandria database.

Calculated values
DFT total energy = -4.8961 eV/atom
DOS at the Fermi energy = 2.7 states/eV/f.u.
offset from the most stable computed form = 0.0000 eV per atom
total magnetic moment = 2.0 μB/cell

abc: 4.245 4.245 6.615
angles: 90.00 90.00 90.00
Fractional positions:
Na 0.000 0.000 0.000
Mn 0.500 0.500 0.500
P 0.000 0.500 0.500
P 0.500 0.000 0.500
Cl 0.500 0.500 0.000

***

[3]
First-principles (PBE) data for an optimized crystal structure of NaMnPb2Cl8, as listed in the Alexandria database.

Calculated values
DFT total energy = -3.8876 eV/atom
DOS at the Fermi energy = 0.7 states/eV/f.u.
total magnetic moment = 4.0 μB/cell

abc: 6.280 8.337 6.688
angles: 90.00 91.69 90.00
Fractional positions:
Na 0.000 0.000 0.000
Mn 0.000 0.500 0.000
Pb 0.500 0.258 0.500
Pb 0.500 0.742 0.500
Cl 0.211 0.298 0.139
Cl 0.211 0.702 0.139
Cl 0.238 0.500 0.679
Cl 0.276 0.000 0.682
Cl 0.724 0.000 0.318
Cl 0.762 0.500 0.321
Cl 0.789 0.298 0.861
Cl 0.789 0.702 0.861

***

[4]
First-principles (PBE) data for an optimized crystal structure of NaMnPbCl5, as listed in the Alexandria database.

Calculated values
DFT total energy = -4.1981 eV/atom
DOS at the Fermi energy = 0.0 states/eV/f.u.
total magnetic moment = 10.0 μB/cell

abc: 7.404 7.404 10.209
angles: 104.16 104.16 104.88
Fractional positions:
Na 0.151 0.849 0.750
Na 0.849 0.151 0.250
Mn 0.176 0.824 0.250
Mn 0.824 0.176 0.750
Pb 0.500 0.500 0.000
Pb 0.500 0.500 0.500
Cl 0.109 0.203 0.930
Cl 0.146 0.558 0.341
Cl 0.203 0.109 0.430
Cl 0.387 0.613 0.750
Cl 0.442 0.854 0.159
Cl 0.558 0.146 0.841
Cl 0.613 0.387 0.250
Cl 0.797 0.891 0.570
Cl 0.854 0.442 0.659
Cl 0.891 0.797 0.070

***

[5]
First-principles (PBE) data for an optimized crystal structure of NaMn2PbCl8, as listed in the Alexandria database.

Calculated values
DFT total energy = -4.2733 eV/atom
DOS at the Fermi energy = 7.9 states/eV/f.u.
total magnetic moment = 9.0 μB/cell

abc: 7.555 7.555 8.020
angles: 90.00 90.00 120.00
Fractional positions:
Na 0.000 0.000 0.000
Mn 0.333 0.667 0.825
Mn 0.667 0.333 0.175
Pb 0.000 0.000 0.500
Cl 0.163 0.326 0.741
Cl 0.163 0.837 0.741
Cl 0.326 0.163 0.259
Cl 0.333 0.667 0.097
Cl 0.667 0.333 0.903
Cl 0.674 0.837 0.741
Cl 0.837 0.163 0.259
Cl 0.837 0.674 0.259

***

[6]
First-principles (PBE) data for an optimized crystal structure of Na2MnPbCl6, as listed in the Alexandria database.

Calculated values
DFT total energy = -4.0410 eV/atom
DOS at the Fermi energy = 0.0 states/eV/f.u.
total magnetic moment = 5.0 μB/cell

abc: 7.452 7.452 7.452
angles: 55.97 55.97 55.97
Fractional positions:
Na 0.000 0.000 0.000
Na 0.493 0.493 0.493
Mn 0.695 0.695 0.695
Pb 0.200 0.200 0.200
Cl 0.059 0.440 0.791
Cl 0.321 0.894 0.604
Cl 0.440 0.791 0.059
Cl 0.604 0.321 0.894
Cl 0.791 0.059 0.440
Cl 0.894 0.604 0.321

***

[7]
First-principles (PBE) data for an optimized crystal structure of Na2MnPbCl8, as listed in the Alexandria database.

Calculated values
DFT total energy = -3.7095 eV/atom
DOS at the Fermi energy = 0.4 states/eV/f.u.
total magnetic moment = 3.0 μB/cell

abc: 6.261 8.272 6.441
angles: 90.00 91.56 90.00
Fractional positions:
Na 0.000 0.246 0.000
Na 0.000 0.754 0.000
Mn 0.500 0.000 0.500
Pb 0.500 0.500 0.500
Cl 0.223 0.500 0.157
Cl 0.283 0.000 0.209
Cl 0.290 0.197 0.644
Cl 0.290 0.803 0.644
Cl 0.710 0.197 0.356
Cl 0.710 0.803 0.356
Cl 0.717 0.000 0.791
Cl 0.777 0.500 0.843

***

[8]
First-principles (PBE) data for an optimized crystal structure of Na2MnPdCl6, as listed in the Alexandria database.

Calculated values
DFT total energy = -3.9504 eV/atom
total magnetic moment = 3.0 μB/cell

abc: 6.985 6.985 6.985
angles: 57.57 57.57 57.57
Fractional positions:
Na 0.000 0.000 0.000
Na 0.498 0.498 0.498
Mn 0.705 0.705 0.705
Pd 0.205 0.205 0.205
Cl 0.052 0.453 0.845
Cl 0.356 0.941 0.563
Cl 0.453 0.845 0.052
Cl 0.563 0.356 0.941
Cl 0.845 0.052 0.453
Cl 0.941 0.563 0.356

***

[9]
First-principles (PBE) data for an optimized crystal structure of NaMnPdCl6, as listed in the Alexandria database.

Calculated values
DFT total energy = -3.8873 eV/atom
DOS at the Fermi energy = 6.2 states/eV/f.u.
total magnetic moment = 12.0 μB/cell

abc: 6.418 6.418 12.407
angles: 90.00 90.00 120.00
Fractional positions:
Na 0.000 0.000 0.000
Na 0.000 0.000 0.500
Mn 0.333 0.667 0.250
Mn 0.667 0.333 0.750
Pd 0.333 0.667 0.750
Pd 0.667 0.333 0.250
Cl 0.000 0.366 0.138
Cl 0.000 0.366 0.638
Cl 0.000 0.634 0.362
Cl 0.000 0.634 0.862
Cl 0.366 0.000 0.138
Cl 0.366 0.000 0.638
Cl 0.366 0.366 0.362
Cl 0.366 0.366 0.862
Cl 0.634 0.000 0.362
Cl 0.634 0.000 0.862
Cl 0.634 0.634 0.138
Cl 0.634 0.634 0.638

***

[10]
First-principles (PBE) data for an optimized crystal structure of NaMnPd2Cl, as listed in the Alexandria database.

Calculated values
DFT total energy = -3.9380 eV/atom
DOS at the Fermi energy = 5.6 states/eV/f.u.
total magnetic moment = 0.0 μB/cell

abc: 4.449 4.449 6.366
angles: 90.00 90.00 90.00
Fractional positions:
Na 0.000 0.000 0.000
Mn 0.000 0.000 0.500
Pd 0.000 0.500 0.500
Pd 0.500 0.000 0.500
Cl 0.500 0.500 0.000

***

[11]
First-principles (PBE) data for an optimized crystal structure of NaPmMnCl6, as listed in the Alexandria database.

Calculated values
DFT total energy = -4.4493 eV/atom
total magnetic moment = 2.0 μB/cell

abc: 6.605 6.605 12.521
angles: 90.00 90.00 120.00
Fractional positions:
Na 0.000 0.000 0.000
Na 0.000 0.000 0.500
Pm 0.333 0.667 0.250
Pm 0.667 0.333 0.750
Mn 0.333 0.667 0.750
Mn 0.667 0.333 0.250
Cl 0.036 0.370 0.636
Cl 0.036 0.665 0.864
Cl 0.335 0.370 0.864
Cl 0.335 0.964 0.636
Cl 0.370 0.036 0.136
Cl 0.370 0.335 0.364
Cl 0.630 0.665 0.636
Cl 0.630 0.964 0.864
Cl 0.665 0.036 0.364
Cl 0.665 0.630 0.136
Cl 0.964 0.335 0.136
Cl 0.964 0.630 0.364

***

[12]
First-principles (PBE) data for an optimized crystal structure of Na2PuMnCl8, as listed in the Alexandria database.

Calculated values
DFT total energy = -4.9732 eV/atom
DOS at the Fermi energy = 6.9 states/eV/f.u.
total magnetic moment = 9.0 μB/cell

abc: 6.788 7.034 8.004
angles: 90.00 90.05 110.04
Fractional positions:
Na 0.000 0.000 0.238
Na 0.000 0.000 0.762
Pu 0.000 0.500 0.500
Mn 0.000 0.500 0.000
Cl 0.198 0.288 0.000
Cl 0.216 0.256 0.500
Cl 0.226 0.714 0.246
Cl 0.226 0.714 0.754
Cl 0.774 0.286 0.246
Cl 0.774 0.286 0.754
Cl 0.784 0.744 0.500
Cl 0.802 0.712 0.000